Record 1
Entry from Alexandria: KYPbO3 after structural relaxation (PBE).

Cell lengths 3.521, 9.767, 6.827 Å; angles 92.67, 90.00, 90.00 degrees
Sites, in units of the cell vectors:
1 Pb 0.250 0.071 0.763
2 Pb 0.750 0.929 0.237
3 K 0.250 0.325 0.389
4 K 0.750 0.675 0.611
5 O 0.750 0.504 0.185
6 O 0.250 0.802 0.356
7 O 0.750 0.198 0.644
8 O 0.750 0.773 0.990
9 O 0.250 0.496 0.815
10 O 0.250 0.227 0.010
11 Y 0.250 0.639 0.089
12 Y 0.750 0.361 0.911

## Properties
As for the final energy: -6.54 eV per atom. The uncorrected formation energy is -2.186 eV/atom. As for the mass density: 5.4 g cm⁻³.

=====

Record 2
Entry from Alexandria: RbAs2Rh2 after structural relaxation (PBE).

Cell lengths 4.462, 4.462, 6.395 Å; angles 69.59, 69.59, 90.00 degrees
Sites, in units of the cell vectors:
1 As 0.750 0.250 0.500
2 As 0.250 0.750 0.500
3 Rh 0.651 0.651 0.697
4 Rh 0.349 0.349 0.303
5 Rb 0.000 0.000 0.000

## Properties
As for the final energy: -5.18 eV per atom. The energy relative to the elements is -92 kJ/mol of formula units. As for the mass density: 6.6 g cm⁻³.